# 1
An optimized crystal structure of LaNdSmDy2, computed with PBE-GGA.

For the density of states at the Fermi level, the calculation gives 15.980 states/eV/cell. The magnetic moment is 0.00 μB per cell. The calculation puts the volume at 360 Å³ per cell. The energy relative to the elements is 0.34 eV/atom. The space group is Cmcm, No. 63. As for the final energy: -4.381 eV/atom.

Cell: 7.2360 8.5167 7.2249 Å, 126.11 90.00 90.00°
Fractional coordinates of all 10 atoms:
Dy (0.5000, 0.6873, 0.0000)
Dy (0.5000, 0.3127, 0.0000)
Dy (0.0000, 0.3127, 0.0000)
Dy (0.0000, 0.6873, 0.0000)
La (0.2500, 0.2654, 0.5308)
La (0.7500, 0.7346, 0.4692)
Nd (0.7500, 0.0000, 0.0000)
Nd (0.2500, 0.0000, 0.0000)
Sm (0.2500, 0.7217, 0.4434)
Sm (0.7500, 0.2783, 0.5566)

# 2
An optimized crystal structure of PmPrTlPb, computed with PBE-GGA.

For the density of states at the Fermi level, the calculation gives 2.141 states/eV/cell. The magnetic moment is 0.00 μB per cell. The calculation puts the volume at 121 Å³ per cell. The energy relative to the elements is -0.43 eV/atom. The space group is F-43m, No. 216. As for the final energy: -4.331 eV/atom.

Cell: 5.5509 5.5509 5.5509 Å, 60.00 60.00 60.00°
Fractional coordinates of all 4 atoms:
Pr (0.7500, 0.7500, 0.7500)
Pm (0.2500, 0.2500, 0.2500)
Pb (0.5000, 0.5000, 0.5000)
Tl (0.0000, 0.0000, 0.0000)

# 3
An optimized crystal structure of PuTi5, computed with PBE-GGA.

For the density of states at the Fermi level, the calculation gives 14.166 states/eV/cell. The magnetic moment is 9.07 μB per cell. The calculation puts the volume at 214 Å³ per cell. The energy relative to the elements is 0.04 eV/atom. The space group is P2_1/m, No. 11. As for the final energy: -8.924 eV/atom.

Cell: 5.0303 5.9079 8.8678 Å, 90.00 90.00 125.76°
Site moments in Bohr magnetons follow the coordinates.
Fractional coordinates of all 12 atoms:
Ti (0.7494, 0.9997, 0.9218)  -0.13
Ti (0.2506, 0.0003, 0.0782)  -0.13
Ti (0.2494, 0.4992, 0.4154)  0.00
Ti (0.7494, 0.9997, 0.5782)  -0.13
Ti (0.2503, 0.0012, 0.7500)  -0.16
Ti (0.2506, 0.0003, 0.4218)  -0.13
Ti (0.7497, 0.9988, 0.2500)  -0.16
Ti (0.2494, 0.4992, 0.0846)  0.00
Ti (0.7506, 0.5008, 0.9154)  0.00
Ti (0.7506, 0.5008, 0.5846)  0.00
Pu (0.2496, 0.5004, 0.7500)  4.99
Pu (0.7504, 0.4996, 0.2500)  4.99

# 4
An optimized crystal structure of NiAsIN2, computed with PBE-GGA.

For the density of states at the Fermi level, the calculation gives 7.833 states/eV/cell. The formation energy (no corrections) is 1344 meV per atom. The magnetic moment is 0.69 μB per cell. The calculation puts the volume at 102 Å³ per cell. Its energy above the most stable polymorph in this dataset is 0.000 eV/atom. The space group is P4/mmm, No. 123. As for the final energy: -4.383 eV/atom.

Cell: 3.6725 3.6725 7.5438 Å, 90.00 90.00 90.00°
Site moments in Bohr magnetons follow the coordinates.
Fractional coordinates of all 5 atoms:
N (0.5000, 0.0000, 0.0000)  0.26
N (0.0000, 0.5000, 0.0000)  0.26
As (0.0000, 0.0000, 0.0000)  -0.01
Ni (0.5000, 0.5000, 0.5000)  -0.01
I (0.0000, 0.0000, 0.5000)  0.00

# 5
An optimized crystal structure of RbF3, computed with PBE-GGA.

For the density of states at the Fermi level, the calculation gives 1.905 states/eV/cell. The formation energy (no corrections) is -1285 meV per atom. The magnetic moment is 1.65 μB per cell. The calculation puts the volume at 143 Å³ per cell. The space group is I4_1/amd, No. 141. As for the final energy: -2.931 eV/atom.

Cell: 3.9729 3.9729 9.4656 Å, 77.89 77.89 90.00°
Site moments in Bohr magnetons follow the coordinates.
Fractional coordinates of all 8 atoms:
Rb (0.7500, 0.2500, 0.5000)  0.00
Rb (0.0000, 0.0000, 0.0000)  0.00
F (0.3750, 0.6250, 0.2500)  0.11
F (0.3750, 0.1250, 0.2500)  0.11
F (0.8750, 0.6250, 0.7500)  0.15
F (0.5000, 0.5000, 0.0000)  0.49
F (0.2500, 0.7500, 0.5000)  0.49
F (0.3750, 0.6250, 0.7500)  0.15

# 6
An optimized crystal structure of LiCrCu2, computed with PBE-GGA.

For the density of states at the Fermi level, the calculation gives 3.257 states/eV/cell. The magnetic moment is 0.36 μB per cell. The calculation puts the volume at 49 Å³ per cell. Its energy above the most stable polymorph in this dataset is 0.073 eV/atom. The energy relative to the elements is 0.25 eV/atom. The space group is P4mm, No. 99. As for the final energy: -4.685 eV/atom.

Cell: 2.4458 2.4458 8.1891 Å, 90.00 90.00 90.00°
Site moments in Bohr magnetons follow the coordinates.
Fractional coordinates of all 4 atoms:
Cu (0.5000, 0.5000, 0.2407)  0.00
Cu (0.0000, 0.0000, 0.0053)  0.00
Li (0.0000, 0.0000, 0.4905)  0.01
Cr (0.5000, 0.5000, 0.7634)  0.31

# 7
An optimized crystal structure of TiBe3Re, computed with PBE-GGA.

For the density of states at the Fermi level, the calculation gives 2.757 states/eV/cell. The magnetic moment is 0.00 μB per cell. The calculation puts the volume at 72 Å³ per cell. Its energy above the most stable polymorph in this dataset is 0.000 eV/atom. The energy relative to the elements is 0.71 eV/atom. The space group is Pm-3m, No. 221. As for the final energy: -5.597 eV/atom.

Cell: 4.1549 4.1549 4.1549 Å, 90.00 90.00 90.00°
Fractional coordinates of all 5 atoms:
Be (0.0000, 0.0000, 0.5000)
Be (0.0000, 0.5000, 0.0000)
Be (0.5000, 0.0000, 0.0000)
Re (0.0000, 0.0000, 0.0000)
Ti (0.5000, 0.5000, 0.5000)

# 8
An optimized crystal structure of SmPuPd, computed with PBE-GGA.

For the density of states at the Fermi level, the calculation gives 9.126 states/eV/cell. The magnetic moment is 6.49 μB per cell. The calculation puts the volume at 85 Å³ per cell. Its energy above the most stable polymorph in this dataset is 0.136 eV/atom. The energy relative to the elements is -0.20 eV/atom. The space group is F-43m, No. 216. As for the final energy: -8.285 eV/atom.

Cell: 4.9329 4.9329 4.9329 Å, 60.00 60.00 60.00°
Site moments in Bohr magnetons follow the coordinates.
Fractional coordinates of all 3 atoms:
Pu (0.0000, 0.0000, 0.0000)  5.57
Sm (0.5000, 0.5000, 0.5000)  0.27
Pd (0.2500, 0.2500, 0.2500)  -0.01

# 9
An optimized crystal structure of ZnHg3, computed with PBE-GGA.

For the density of states at the Fermi level, the calculation gives 1.413 states/eV/cell. The magnetic moment is 0.00 μB per cell. The calculation puts the volume at 102 Å³ per cell. Its energy above the most stable polymorph in this dataset is 0.029 eV/atom. The energy relative to the elements is 0.10 eV/atom. The space group is I4/mmm, No. 139. As for the final energy: -0.447 eV/atom.

Cell: 4.1912 4.1912 6.5420 Å, 108.68 108.68 90.00°
Fractional coordinates of all 4 atoms:
Hg (0.7672, 0.7672, 0.5344)
Hg (0.5000, 0.5000, 0.0000)
Hg (0.2328, 0.2328, 0.4656)
Zn (0.0000, 0.0000, 0.0000)

# 10
An optimized crystal structure of Dy6ErCd2, computed with PBE-GGA.

For the density of states at the Fermi level, the calculation gives 9.110 states/eV/cell. The magnetic moment is 0.00 μB per cell. The calculation puts the volume at 262 Å³ per cell. The energy relative to the elements is -0.13 eV/atom. The space group is C2/m, No. 12. As for the final energy: -3.907 eV/atom.

Cell: 3.7332 6.5526 11.6097 Å, 75.54 80.75 73.45°
Fractional coordinates of all 9 atoms:
Cd (0.6454, 0.9154, 0.7939)
Cd (0.3546, 0.0846, 0.2061)
Dy (0.6851, 0.5071, 0.1227)
Dy (0.6875, 0.2093, 0.4157)
Dy (0.0155, 0.3075, 0.6615)
Dy (0.9845, 0.6925, 0.3385)
Dy (0.3149, 0.4929, 0.8773)
Dy (0.3125, 0.7907, 0.5843)
Er (0.0000, 0.0000, 0.0000)